1.
Here is a PBEsol-optimized structure of Te4Mo3 from the Alexandria database. Energies are from meta-GGA SCAN.

The calculation puts the raw total energy at -36.50 eV/atom. For the formation energy without anion corrections, the calculation gives -0.260 eV/atom. The value obtained for the volume is 1033.03 Å³ per cell.

Geometry as CIF:
```
data_Te4Mo3
_chemical_formula_sum 'Te24 Mo18'
_symmetry_space_group_name_H-M 'R -3'
_symmetry_Int_Tables_number 148
_symmetry_space_group_name_Hall '-R 3'
_cell_length_a 10.0949
_cell_length_b 10.0949
_cell_length_c 11.7052
_cell_angle_alpha 90.00
_cell_angle_beta 90.00
_cell_angle_gamma 120.00
loop_
_atom_site_label
_atom_site_fract_x
_atom_site_fract_y
_atom_site_fract_z
_atom_site_occupancy
Te1 0.0000 0.0000 0.2102 1
Te2 0.9999 0.3696 0.2520 1
Mo1 0.0174 0.1605 0.4024 1
```



2.
Here is a PBEsol-optimized structure of Ta2Be2Rh from the Alexandria database. Energies are from meta-GGA SCAN.

The calculation puts the raw total energy at -35.58 eV/atom. The value obtained for the volume is 127.28 Å³ per cell.

Geometry as CIF:
```
data_Ta2Be2Rh
_chemical_formula_sum 'Ta4 Be4 Rh2'
_symmetry_space_group_name_H-M 'P 4/m b m'
_symmetry_Int_Tables_number 127
_symmetry_space_group_name_Hall '-P 4 2ab'
_cell_length_a 6.0591
_cell_length_b 6.0591
_cell_length_c 3.4669
_cell_angle_alpha 90.00
_cell_angle_beta 90.00
_cell_angle_gamma 90.00
loop_
_atom_site_label
_atom_site_fract_x
_atom_site_fract_y
_atom_site_fract_z
_atom_site_occupancy
Ta1 0.1727 0.3273 0.0000 1
Be1 0.1245 0.6245 0.5000 1
Rh1 0.0000 0.0000 0.5000 1
```



3.
Here is a PBEsol-optimized structure of SrAg2Pb from the Alexandria database. Energies are from meta-GGA SCAN.

The calculation puts the raw total energy at -40.36 eV/atom. The value obtained for the volume is 97.71 Å³ per cell.

Geometry as CIF:
```
data_SrAg2Pb
_chemical_formula_sum 'Sr1 Ag2 Pb1'
_symmetry_space_group_name_H-M 'P 4/m m m'
_symmetry_Int_Tables_number 123
_symmetry_space_group_name_Hall '-P 4 2'
_cell_length_a 4.8255
_cell_length_b 4.8255
_cell_length_c 4.1962
_cell_angle_alpha 90.00
_cell_angle_beta 90.00
_cell_angle_gamma 90.00
loop_
_atom_site_label
_atom_site_fract_x
_atom_site_fract_y
_atom_site_fract_z
_atom_site_occupancy
Sr1 0.0000 0.0000 0.0000 1
Ag1 0.0000 0.5000 0.5000 1
Pb1 0.5000 0.5000 0.0000 1
```



4.
Here is a PBEsol-optimized structure of Bi2PdNCl from the Alexandria database. Energies are from meta-GGA SCAN.

The calculation puts the raw total energy at -40.72 eV/atom. For the formation energy without anion corrections, the calculation gives 0.719 eV/atom. The value obtained for the volume is 97.39 Å³ per cell.

Geometry as CIF:
```
data_Bi2PdNCl
_chemical_formula_sum 'Bi2 Pd1 N1 Cl1'
_symmetry_space_group_name_H-M 'P 4/m m m'
_symmetry_Int_Tables_number 123
_symmetry_space_group_name_Hall '-P 4 2'
_cell_length_a 4.9191
_cell_length_b 4.9191
_cell_length_c 4.0250
_cell_angle_alpha 90.00
_cell_angle_beta 90.00
_cell_angle_gamma 90.00
loop_
_atom_site_label
_atom_site_fract_x
_atom_site_fract_y
_atom_site_fract_z
_atom_site_occupancy
Bi1 0.0000 0.5000 0.0000 1
Pd1 0.0000 0.0000 0.5000 1
N1 0.5000 0.5000 0.0000 1
Cl1 0.5000 0.5000 0.5000 1
```



Q: Which of these has the highest raw total energy?
A: Ta2Be2Rh